1.
# AsRhAu3

A relaxed structure of AsRhAu3 (PBE, Alexandria via LeMat-Bulk).

abc: 4.9764 4.9764 4.9764
angles: 90.00 90.00 90.00
Fractional positions:
As 0.0000 0.0000 0.0000
Rh 0.5000 0.5000 0.5000
Au 0.0000 0.5000 0.5000
Au 0.5000 0.0000 0.5000
Au 0.5000 0.5000 0.0000

Properties
energy relative to the lowest polymorph listed for this composition	365.0	meV/atom
M_tot	1.32	μB per cell
E_form	1.147	eV/atom



2.
# MnAgMoH2

A relaxed structure of MnAgMoH2 (PBE, Alexandria via LeMat-Bulk).

abc: 3.3789 3.3789 5.3628
angles: 90.00 90.00 90.00
Fractional positions:
Mn 0.0000 0.0000 0.0000
Ag 0.0000 0.0000 0.5000
Mo 0.5000 0.5000 0.0000
H 0.0000 0.5000 0.5000
H 0.5000 0.0000 0.5000

Properties
energy relative to the lowest polymorph listed for this composition	271.7	meV/atom
M_tot	0.00	μB per cell



3.
# Ac5Sm4Tm

A relaxed structure of Ac5Sm4Tm (PBE, Alexandria via LeMat-Bulk).

abc: 3.8746 3.8746 25.6923
angles: 90.00 90.00 90.00
Fractional positions:
Ac 0.0000 0.0000 0.0000
Ac 0.0000 0.0000 0.2022
Ac 0.0000 0.0000 0.4037
Ac 0.0000 0.0000 0.5963
Ac 0.0000 0.0000 0.7978
Sm 0.5000 0.5000 0.1011
Sm 0.5000 0.5000 0.3035
Sm 0.5000 0.5000 0.6965
Sm 0.5000 0.5000 0.8989
Tm 0.5000 0.5000 0.5000

Properties
M_tot	0.00	μB per cell
E_form	0.041	eV/atom



4.
# Pm2YGa

A relaxed structure of Pm2YGa (PBE, Alexandria via LeMat-Bulk).

abc: 10.6166 10.6166 10.6166
angles: 20.10 20.10 20.10
Fractional positions:
Pm 0.0000 0.0000 0.0000
Pm 0.1911 0.1911 0.1911
Y 0.7620 0.7620 0.7620
Ga 0.5959 0.5959 0.5959

Properties
energy relative to the lowest polymorph listed for this composition	107.2	meV/atom
M_tot	0.75	μB per cell
E_form	-0.162	eV/atom



5.
# SmEr2Hf

A relaxed structure of SmEr2Hf (PBE, Alexandria via LeMat-Bulk).

abc: 11.3750 11.3750 11.3750
angles: 17.37 17.37 17.37
Fractional positions:
Sm 0.0000 0.0000 0.0000
Er 0.2441 0.2441 0.2441
Er 0.4230 0.4230 0.4230
Hf 0.8339 0.8339 0.8339

Properties
energy relative to the lowest polymorph listed for this composition	0.0	meV/atom
M_tot	0.00	μB per cell
E_form	0.105	eV/atom



6.
# Ca3HN

A relaxed structure of Ca3HN (PBE, Alexandria via LeMat-Bulk).

abc: 6.1711 3.6512 10.0122
angles: 90.00 91.38 90.00
Fractional positions:
Ca 0.1981 0.2500 0.0639
Ca 0.2091 0.7500 0.3568
Ca 0.2447 0.7500 0.7601
Ca 0.7553 0.2500 0.2399
Ca 0.7909 0.2500 0.6432
Ca 0.8019 0.7500 0.9361
H 0.3801 0.2500 0.2741
H 0.6199 0.7500 0.7259
N 0.0222 0.2500 0.8368
N 0.9778 0.7500 0.1632

Properties
energy relative to the lowest polymorph listed for this composition	0.0	meV/atom
M_tot	0.00	μB per cell



Respective VASP energy values: -3.220 -4.900 -4.348 -4.910 -5.845 -4.127 eV per atom.